A relaxed structure of NiPSe2N, computed with PBE-GGA.

Values from the calculation:
The value obtained for the calculated volume is 16.5 A^3/atom. For the total energy, the calculation gives -4.54 eV/atom. The energy relative to the elements, uncorrected comes out at 0.760 eV/atom. Its mass density is 5.280 g/cm3.

Cell and atoms, written as CIF:
```
data_NiPSe2N
_chemical_formula_sum 'Ni1 P1 Se2 N1'
_cell_length_a 4.917
_cell_length_b 4.917
_cell_length_c 3.403
_cell_angle_alpha 90.00
_cell_angle_beta 90.00
_cell_angle_gamma 90.00
_space_group_name_H-M_alt 'P 4/m m m'
_space_group_IT_number 123
_space_group_name_Hall '-P 4 2'
loop_
_atom_site_label
_atom_site_type_symbol
_atom_site_fract_x
_atom_site_fract_y
_atom_site_fract_z
_atom_site_occupancy
Ni1 Ni 0.000 0.000 0.000 1
P1 P 0.500 0.500 0.500 1
Se1 Se 0.000 0.500 0.000 1
N1 N 0.000 0.000 0.500 1
```

A relaxed structure of RbTeF2, computed with PBE-GGA.

Values from the calculation:
The value obtained for the calculated volume is 22.7 A^3/atom. For the total energy, the calculation gives -3.07 eV/atom. The energy relative to the elements, uncorrected comes out at -1.104 eV/atom. Its mass density is 4.588 g/cm3.

Cell and atoms, written as CIF:
```
data_RbTeF2
_chemical_formula_sum 'Rb3 Te3 F6'
_cell_length_a 3.4323
_cell_length_b 3.4323
_cell_length_c 26.7176
_cell_angle_alpha 90.00
_cell_angle_beta 90.00
_cell_angle_gamma 120.00
_space_group_name_H-M_alt 'R -3 m'
_space_group_IT_number 166
_space_group_name_Hall '-R 3 2"'
loop_
_atom_site_label
_atom_site_type_symbol
_atom_site_fract_x
_atom_site_fract_y
_atom_site_fract_z
_atom_site_occupancy
Rb1 Rb 0.0000 0.0000 0.0000 1
Te1 Te 0.0000 0.0000 0.5000 1
F1 F 0.0000 0.0000 0.0909 1
```

A relaxed structure of Sc4In3Au, computed with PBE-GGA.

Values from the calculation:
The value obtained for the calculated volume is 21.9 A^3/atom. The energy relative to the elements is -4.2 eV/f.u. For the total energy, the calculation gives -5.13 eV/atom. Its mass density is 6.822 g/cm3.

Cell and atoms, written as CIF:
```
data_Sc4In3Au
_chemical_formula_sum 'Sc4 In3 Au1'
_cell_length_a 3.343
_cell_length_b 3.343
_cell_length_c 15.705
_cell_angle_alpha 90.00
_cell_angle_beta 90.00
_cell_angle_gamma 90.00
_space_group_name_H-M_alt 'P 4/m m m'
_space_group_IT_number 123
_space_group_name_Hall '-P 4 2'
loop_
_atom_site_label
_atom_site_type_symbol
_atom_site_fract_x
_atom_site_fract_y
_atom_site_fract_z
_atom_site_occupancy
Sc1 Sc 0.000 0.000 0.109 1
Sc2 Sc 0.000 0.000 0.370 1
In1 In 0.500 0.500 0.239 1
In2 In 0.500 0.500 0.500 1
Au1 Au 0.500 0.500 0.000 1
```